Record 1
Here is a geometry-optimized Mn2Zn2Pd7 structure from the Alexandria database. Energies are from PBE-GGA.

a b c (Å): 6.6511 6.6511 4.3238
angles (deg): 108.91 108.91 82.33
Closest atoms and distances in Å follow each position.
Fractional positions:
Mn 0.2479 0.7521 0.0000  6 Pd 2.60-2.63, 2 Zn 2.68
Mn 0.7521 0.2479 0.0000  6 Pd 2.60-2.63, 2 Zn 2.68
Zn 0.3322 0.3322 0.8329  6 Pd 2.53-2.64, 2 Mn 2.68
Zn 0.6678 0.6678 0.1671  6 Pd 2.53-2.64, 2 Mn 2.68
Pd 0.0676 0.6168 0.3421  1 Zn 2.53, 2 Mn 2.60, 3 Pd 2.76-2.80
Pd 0.1638 0.1638 0.1648  2 Mn 2.63, 2 Zn 2.64, 6 Pd 2.89-2.93
Pd 0.3832 0.9324 0.6579  1 Zn 2.53, 2 Mn 2.60, 3 Pd 2.76-2.80
Pd 0.5000 0.5000 0.5000  4 Zn 2.64, 4 Pd 2.80
Pd 0.6168 0.0676 0.3421  1 Zn 2.53, 2 Mn 2.60, 3 Pd 2.76-2.80
Pd 0.8362 0.8362 0.8352  2 Mn 2.63, 2 Zn 2.64, 6 Pd 2.89-2.93
Pd 0.9324 0.3832 0.6579  1 Zn 2.53, 2 Mn 2.60, 3 Pd 2.76-2.80

## Properties
**Symmetry**: C2/m (12)
**Density**: 9.57 g cm⁻³
**DOS(E_F)**: 4.79 states/eV/cell
**Total magnetization**: 9.1 μB/cell
**Total DFT energy (no corrections)**: -5.386 eV per atom


Record 2
Here is a geometry-optimized Mn2Zn5Pd12 structure from the Alexandria database. Energies are from PBE-GGA.

a b c (Å): 8.0457 8.0457 7.2089
angles (deg): 106.04 106.04 42.04
Closest atoms and distances in Å follow each position.
Fractional positions:
Mn 0.1630 0.8370 0.0000  1 Mn 1.88
Mn 0.8370 0.1630 0.0000  1 Mn 1.88
Zn 0.2505 0.2505 0.0032  9 Pd 2.65-2.88, 2 Zn 2.89
Zn 0.2526 0.2526 0.4955  8 Pd 2.61-2.66, 2 Zn 2.89
Zn 0.5000 0.5000 0.5000  6 Pd 2.53-2.63
Zn 0.7474 0.7474 0.5045  8 Pd 2.61-2.66, 2 Zn 2.89
Zn 0.7495 0.7495 0.9968  9 Pd 2.65-2.88, 2 Zn 2.89
Pd 0.0266 0.0266 0.3400  2 Mn 2.54, 3 Pd 2.66-2.83
Pd 0.0896 0.5891 0.8009  1 Mn 2.47, 4 Zn 2.61-2.67
Pd 0.0928 0.6168 0.3374  5 Zn 2.63-2.88, 5 Pd 2.73-2.92
Pd 0.3832 0.9072 0.6626  5 Zn 2.63-2.88, 5 Pd 2.73-2.92
Pd 0.4109 0.9104 0.1991  1 Mn 2.47, 4 Zn 2.61-2.67
Pd 0.4442 0.4442 0.1330  2 Mn 2.43, 1 Zn 2.53
Pd 0.5558 0.5558 0.8670  2 Mn 2.43, 1 Zn 2.53
Pd 0.5891 0.0896 0.8009  1 Mn 2.47, 4 Zn 2.61-2.67
Pd 0.6168 0.0928 0.3374  5 Zn 2.63-2.88, 5 Pd 2.73-2.92
Pd 0.9072 0.3832 0.6626  5 Zn 2.63-2.88, 5 Pd 2.73-2.92
Pd 0.9104 0.4109 0.1991  1 Mn 2.47, 4 Zn 2.61-2.67
Pd 0.9734 0.9734 0.6600  2 Mn 2.54, 3 Pd 2.66-2.83

## Properties
**Symmetry**: C2/m (12)
**Density**: 9.53 g cm⁻³
**DOS(E_F)**: 9.02 states/eV/cell
**Total magnetization**: 2.8 μB/cell
**Total DFT energy (no corrections)**: -4.689 eV per atom


Record 3
Here is a geometry-optimized MnZn2Pd6 structure from the Alexandria database. Energies are from PBE-GGA.

a b c (Å): 7.1642 7.1642 4.1784
angles (deg): 106.87 106.87 48.68
Closest atoms and distances in Å follow each position.
Fractional positions:
Mn 0.0000 0.0000 0.0000  8 Pd 2.55-2.56
Zn 0.3326 0.3326 0.3325  8 Pd 2.54-2.55
Zn 0.6674 0.6674 0.6675  8 Pd 2.54-2.55
Pd 0.0857 0.5808 0.8332  3 Zn 2.54-2.55, 1 Mn 2.55
Pd 0.2500 0.7500 0.5000  2 Zn 2.54, 2 Mn 2.56
Pd 0.4192 0.9143 0.1668  3 Zn 2.54-2.55, 1 Mn 2.55
Pd 0.5808 0.0857 0.8332  3 Zn 2.54-2.55, 1 Mn 2.55
Pd 0.7500 0.2500 0.5000  2 Zn 2.54, 2 Mn 2.56
Pd 0.9143 0.4192 0.1668  3 Zn 2.54-2.55, 1 Mn 2.55

## Properties
**Symmetry**: C2/m (12)
**Density**: 8.96 g cm⁻³
**DOS(E_F)**: 5.75 states/eV/cell
**Total magnetization**: 4.6 μB/cell
**Total DFT energy (no corrections)**: -4.875 eV per atom


Record 4
Here is a geometry-optimized Mn2ZnPd9 structure from the Alexandria database. Energies are from PBE-GGA.

a b c (Å): 3.9200 3.9200 11.7467
angles (deg): 90.00 90.00 90.00
Closest atoms and distances in Å follow each position.
Fractional positions:
Mn 0.0000 0.0000 0.1684  12 Pd 2.76-2.78
Mn 0.0000 0.0000 0.8316  12 Pd 2.76-2.78
Zn 0.0000 0.0000 0.5000  12 Pd 2.77
Pd 0.0000 0.5000 0.0000  8 Pd 2.77, 4 Mn 2.78
Pd 0.0000 0.5000 0.3333  2 Mn 2.76, 8 Pd 2.77, 2 Zn 2.77
Pd 0.0000 0.5000 0.6667  2 Mn 2.76, 8 Pd 2.77, 2 Zn 2.77
Pd 0.5000 0.0000 0.0000  8 Pd 2.77, 4 Mn 2.78
Pd 0.5000 0.0000 0.3333  2 Mn 2.76, 8 Pd 2.77, 2 Zn 2.77
Pd 0.5000 0.0000 0.6667  2 Mn 2.76, 8 Pd 2.77, 2 Zn 2.77
Pd 0.5000 0.5000 0.1662  8 Pd 2.77, 4 Mn 2.77
Pd 0.5000 0.5000 0.5000  8 Pd 2.77, 4 Zn 2.77
Pd 0.5000 0.5000 0.8338  8 Pd 2.77, 4 Mn 2.77

## Properties
**Symmetry**: P4/mmm (123)
**Density**: 10.42 g cm⁻³
**DOS(E_F)**: 14.35 states/eV/cell
**Total magnetization**: 8.5 μB/cell
**Total DFT energy (no corrections)**: -5.780 eV per atom


Record 5
Here is a geometry-optimized MnZn2Pd2 structure from the Alexandria database. Energies are from PBE-GGA.

a b c (Å): 7.2376 7.2376 2.9136
angles (deg): 90.00 90.00 90.00
Closest atoms and distances in Å follow each position.
Fractional positions:
Mn 0.0000 0.0000 0.0000  4 Zn 2.86, 2 Mn 2.91, 8 Pd 3.05
Mn 0.5000 0.5000 0.0000  4 Zn 2.86, 2 Mn 2.91, 8 Pd 3.05
Zn 0.1260 0.3740 0.0000  6 Pd 2.52-2.63, 1 Zn 2.58
Zn 0.3740 0.8740 0.0000  6 Pd 2.52-2.63, 1 Zn 2.58
Zn 0.6260 0.1260 0.0000  6 Pd 2.52-2.63, 1 Zn 2.58
Zn 0.8740 0.6260 0.0000  6 Pd 2.52-2.63, 1 Zn 2.58
Pd 0.1727 0.6727 0.5000  6 Zn 2.52-2.63
Pd 0.3273 0.1727 0.5000  6 Zn 2.52-2.63
Pd 0.6727 0.8273 0.5000  6 Zn 2.52-2.63
Pd 0.8273 0.3273 0.5000  6 Zn 2.52-2.63

## Properties
**Symmetry**: P4/mbm (127)
**Distance to the lowest polymorph of the same formula**: 0.000 eV per atom
**Density**: 8.67 g cm⁻³
**DOS(E_F)**: 4.62 states/eV/cell
**Total magnetization**: 8.6 μB/cell
**Total DFT energy (no corrections)**: -4.678 eV per atom


Record 6
Here is a geometry-optimized MnZn2Pd structure from the Alexandria database. Energies are from PBE-GGA.

a b c (Å): 2.8980 2.8980 6.7184
angles (deg): 90.00 90.00 90.00
Closest atoms and distances in Å follow each position.
Fractional positions:
Mn 0.0000 0.0000 0.0000  8 Zn 2.64, 4 Mn 2.90
Zn 0.5000 0.5000 0.2486  4 Mn 2.64, 4 Pd 2.66, 4 Zn 2.90
Zn 0.5000 0.5000 0.7514  4 Mn 2.64, 4 Pd 2.66, 4 Zn 2.90
Pd 0.0000 0.0000 0.5000  8 Zn 2.66, 4 Pd 2.90

## Properties
**Symmetry**: P4/mmm (123)
**Density**: 8.60 g cm⁻³
**DOS(E_F)**: 2.35 states/eV/cell
**Total magnetization**: 3.0 μB/cell
**Total DFT energy (no corrections)**: -4.440 eV per atom


Record 7
Here is a geometry-optimized MnZn3Pd4 structure from the Alexandria database. Energies are from PBE-GGA.

a b c (Å): 3.4544 4.1156 8.2248
angles (deg): 90.00 90.00 90.00
Closest atoms and distances in Å follow each position.
Fractional positions:
Mn 0.0000 0.0000 0.0000  8 Pd 2.69-2.70, 4 Zn 2.90
Zn 0.0000 0.0000 0.5000  8 Pd 2.67-2.69, 4 Zn 2.92
Zn 0.0000 0.5000 0.2477  8 Pd 2.67-2.70, 2 Mn 2.90, 2 Zn 2.92
Zn 0.0000 0.5000 0.7523  8 Pd 2.67-2.70, 2 Mn 2.90, 2 Zn 2.92
Pd 0.5000 0.0000 0.2521  6 Zn 2.67-2.69, 2 Mn 2.70, 4 Pd 2.90-2.92
Pd 0.5000 0.0000 0.7479  6 Zn 2.67-2.69, 2 Mn 2.70, 4 Pd 2.90-2.92
Pd 0.5000 0.5000 0.0000  4 Zn 2.67, 4 Mn 2.69, 4 Pd 2.92
Pd 0.5000 0.5000 0.5000  8 Zn 2.69-2.70, 4 Pd 2.90

## Properties
**Symmetry**: Pmmm (47)
**Density**: 9.61 g cm⁻³
**DOS(E_F)**: 2.25 states/eV/cell
**Total magnetization**: 4.6 μB/cell
**Total DFT energy (no corrections)**: -4.695 eV per atom


Record 8
Here is a geometry-optimized MnZn5Pd6 structure from the Alexandria database. Energies are from PBE-GGA.

a b c (Å): 6.5468 6.5468 6.7893
angles (deg): 90.00 90.00 143.20
Closest atoms and distances in Å follow each position.
Fractional positions:
Mn 0.0000 0.0000 0.0000  8 Pd 2.69, 4 Zn 2.91
Zn 0.0000 0.0000 0.5000  8 Pd 2.66-2.68, 4 Zn 2.92
Zn 0.3334 0.6666 0.5000  8 Pd 2.66-2.67, 4 Zn 2.92-2.93
Zn 0.3354 0.6646 0.0000  8 Pd 2.67-2.69, 2 Mn 2.91, 2 Zn 2.96
Zn 0.6646 0.3354 0.0000  8 Pd 2.67-2.69, 2 Mn 2.91, 2 Zn 2.96
Zn 0.6666 0.3334 0.5000  8 Pd 2.66-2.67, 4 Zn 2.92-2.93
Pd 0.1675 0.8325 0.2507  7 Zn 2.67-2.69, 1 Mn 2.69, 4 Pd 2.91-2.93
Pd 0.1675 0.8325 0.7493  7 Zn 2.67-2.69, 1 Mn 2.69, 4 Pd 2.91-2.93
Pd 0.5000 0.5000 0.2537  6 Zn 2.66-2.67, 2 Mn 2.69, 4 Pd 2.93
Pd 0.5000 0.5000 0.7463  6 Zn 2.66-2.67, 2 Mn 2.69, 4 Pd 2.93
Pd 0.8325 0.1675 0.2507  7 Zn 2.67-2.69, 1 Mn 2.69, 4 Pd 2.91-2.93
Pd 0.8325 0.1675 0.7493  7 Zn 2.67-2.69, 1 Mn 2.69, 4 Pd 2.91-2.93

## Properties
**Symmetry**: Cmmm (65)
**Density**: 9.72 g cm⁻³
**DOS(E_F)**: 2.09 states/eV/cell
**Total magnetization**: 4.4 μB/cell
**Total DFT energy (no corrections)**: -4.400 eV per atom


Record 9
Here is a geometry-optimized Mn5ZnPd6 structure from the Alexandria database. Energies are from PBE-GGA.

a b c (Å): 7.4692 7.4692 7.4692
angles (deg): 147.21 126.00 64.64
Closest atoms and distances in Å follow each position.
Fractional positions:
Mn 0.0000 0.0000 0.0000  8 Pd 2.70, 4 Mn 2.98
Mn 0.1669 0.6669 0.5000  8 Pd 2.70-2.71, 4 Mn 2.98-2.99
Mn 0.3345 0.3345 0.0000  8 Pd 2.69-2.71, 2 Zn 2.97, 2 Mn 2.99
Mn 0.6655 0.6655 0.0000  8 Pd 2.69-2.71, 2 Zn 2.97, 2 Mn 2.99
Mn 0.8331 0.3331 0.5000  8 Pd 2.70-2.71, 4 Mn 2.98-2.99
Zn 0.5000 0.0000 0.5000  8 Pd 2.70-2.71, 4 Mn 2.97
Pd 0.0832 0.8333 0.2499  7 Mn 2.70-2.71, 1 Zn 2.70, 4 Pd 2.98
Pd 0.2495 0.5000 0.7495  6 Mn 2.69-2.70, 2 Zn 2.71, 4 Pd 2.98
Pd 0.4166 0.1667 0.2499  7 Mn 2.70-2.71, 1 Zn 2.70, 4 Pd 2.98
Pd 0.5834 0.8333 0.7501  7 Mn 2.70-2.71, 1 Zn 2.70, 4 Pd 2.98
Pd 0.7505 0.5000 0.2505  6 Mn 2.69-2.70, 2 Zn 2.71, 4 Pd 2.98
Pd 0.9168 0.1667 0.7501  7 Mn 2.70-2.71, 1 Zn 2.70, 4 Pd 2.98

## Properties
**Symmetry**: Immm (71)
**Density**: 9.00 g cm⁻³
**DOS(E_F)**: 3.92 states/eV/cell
**Total magnetization**: 22.4 μB/cell
**Total DFT energy (no corrections)**: -6.776 eV per atom


Record 10
Here is a geometry-optimized MnZn2Pd2 structure from the Alexandria database. Energies are from PBE-GGA.

a b c (Å): 7.2950 7.2950 2.7826
angles (deg): 90.00 90.00 90.00
Closest atoms and distances in Å follow each position.
Fractional positions:
Mn 0.0000 0.0000 0.0000  2 Mn 2.78, 4 Pd 2.82, 8 Zn 3.07
Mn 0.5000 0.5000 0.0000  2 Mn 2.78, 4 Pd 2.82, 8 Zn 3.07
Zn 0.1611 0.3389 0.5000  6 Pd 2.49-2.60, 2 Zn 2.78
Zn 0.3389 0.8389 0.5000  6 Pd 2.49-2.60, 2 Zn 2.78
Zn 0.6611 0.1611 0.5000  6 Pd 2.49-2.60, 2 Zn 2.78
Zn 0.8389 0.6611 0.5000  6 Pd 2.49-2.60, 2 Zn 2.78
Pd 0.1383 0.6383 0.0000  6 Zn 2.49-2.60, 2 Pd 2.78
Pd 0.3617 0.1383 0.0000  6 Zn 2.49-2.60, 2 Pd 2.78
Pd 0.6383 0.8617 0.0000  6 Zn 2.49-2.60, 2 Pd 2.78
Pd 0.8617 0.3617 0.0000  6 Zn 2.49-2.60, 2 Pd 2.78

## Properties
**Symmetry**: P4/mbm (127)
**Distance to the lowest polymorph of the same formula**: 0.374 eV per atom
**Density**: 8.94 g cm⁻³
**DOS(E_F)**: 11.43 states/eV/cell
**Total magnetization**: 0.2 μB/cell
**Total DFT energy (no corrections)**: -4.304 eV per atom


Record 11
Here is a geometry-optimized ZrMn2Pd2 structure from the Alexandria database. Energies are from PBE-GGA.

a b c (Å): 7.3791 7.3791 2.7702
angles (deg): 90.00 90.00 90.00
Closest atoms and distances in Å follow each position.
Fractional positions:
Zr 0.0000 0.0000 0.0000  2 Zr 2.77, 8 Pd 3.01, 4 Mn 3.06
Zr 0.5000 0.5000 0.0000  2 Zr 2.77, 8 Pd 3.01, 4 Mn 3.06
Mn 0.0967 0.4033 0.0000  1 Mn 2.02
Mn 0.4033 0.9033 0.0000  1 Mn 2.02
Mn 0.5967 0.0967 0.0000  1 Mn 2.02
Mn 0.9033 0.5967 0.0000  1 Mn 2.02
Pd 0.1932 0.6932 0.5000  6 Mn 2.59-2.65, 2 Pd 2.77
Pd 0.3068 0.1932 0.5000  6 Mn 2.59-2.65, 2 Pd 2.77
Pd 0.6932 0.8068 0.5000  6 Mn 2.59-2.65, 2 Pd 2.77
Pd 0.8068 0.3068 0.5000  6 Mn 2.59-2.65, 2 Pd 2.77

## Properties
**Symmetry**: P4/mbm (127)
**Distance to the lowest polymorph of the same formula**: 0.004 eV per atom
**Density**: 9.11 g cm⁻³
**DOS(E_F)**: 11.12 states/eV/cell
**Total magnetization**: 0.0 μB/cell
**Total DFT energy (no corrections)**: -7.410 eV per atom


Record 12
Here is a geometry-optimized Zr3MnPd12 structure from the Alexandria database. Energies are from PBE-GGA.

a b c (Å): 4.0207 4.0207 15.9559
angles (deg): 90.00 90.00 90.00
Closest atoms and distances in Å follow each position.
Fractional positions:
Zr 0.0000 0.0000 0.0000  12 Pd 2.84
Zr 0.0000 0.0000 0.2571  12 Pd 2.78-2.90
Zr 0.0000 0.0000 0.7429  12 Pd 2.78-2.90
Mn 0.0000 0.0000 0.5000  12 Pd 2.80-2.84
Pd 0.0000 0.5000 0.1258  8 Pd 2.84, 4 Zr 2.84-2.90
Pd 0.0000 0.5000 0.3776  2 Zr 2.78, 8 Pd 2.80-2.85, 2 Mn 2.80
Pd 0.0000 0.5000 0.6224  2 Zr 2.78, 2 Mn 2.80, 8 Pd 2.80-2.85
Pd 0.0000 0.5000 0.8742  8 Pd 2.84, 4 Zr 2.84-2.90
Pd 0.5000 0.0000 0.1258  8 Pd 2.84, 4 Zr 2.84-2.90
Pd 0.5000 0.0000 0.3776  2 Zr 2.78, 8 Pd 2.80-2.85, 2 Mn 2.80
Pd 0.5000 0.0000 0.6224  2 Zr 2.78, 2 Mn 2.80, 8 Pd 2.80-2.85
Pd 0.5000 0.0000 0.8742  8 Pd 2.84, 4 Zr 2.84-2.90
Pd 0.5000 0.5000 0.0000  8 Pd 2.84, 4 Zr 2.84
Pd 0.5000 0.5000 0.2513  8 Pd 2.84-2.85, 4 Zr 2.84
Pd 0.5000 0.5000 0.5000  8 Pd 2.80, 4 Mn 2.84
Pd 0.5000 0.5000 0.7487  8 Pd 2.84-2.85, 4 Zr 2.84

## Properties
**Symmetry**: P4/mmm (123)
**Density**: 10.34 g cm⁻³
**DOS(E_F)**: 5.43 states/eV/cell
**Total magnetization**: 4.3 μB/cell
**Total DFT energy (no corrections)**: -6.749 eV per atom